Entry 1:
The following is a PBE calculation of a relaxed SmPuSiAg crystal, from the Alexandria database.

Calculated values
Size of the total moment: 6.2 μB per cell
Formation energy without anion corrections: -24.3 kJ/mol of atoms

Cell lengths 5.1230, 5.1230, 5.1230 Å; angles 60.00, 60.00, 60.00 degrees
With the nearest neighbours (Å) after each atom.
Positions (direct):
Si1 0.2500 0.2500 0.2500  4 Pu 3.14, 4 Sm 3.14
Ag1 0.7500 0.7500 0.7500  4 Sm 3.14, 4 Pu 3.14
Sm1 0.0000 0.0000 0.0000  4 Ag 3.14, 4 Si 3.14
Pu1 0.5000 0.5000 0.5000  4 Si 3.14, 4 Ag 3.14

Entry 2:
The following is a PBE calculation of a relaxed Pm2In2Hg crystal, from the Alexandria database.

Calculated values
ΔH_f (0 K): -0.46 eV/atom
Offset from the most stable computed form: 0 meV per atom
Size of the total moment: 0.0 μB per cell

Cell lengths 4.8217, 6.2341, 10.4011 Å; angles 89.06, 76.60, 67.25 degrees
With the nearest neighbours (Å) after each atom.
Positions (direct):
Pm1 0.6850 0.2997 0.3303  7 In 3.29-3.60, 4 Hg 3.38-3.67
Pm2 0.9201 0.2568 0.9029  6 In 3.24-3.49, 2 Hg 3.43
Pm3 0.3150 0.7004 0.6697  7 In 3.29-3.60, 4 Hg 3.38-3.67
Pm4 0.0799 0.7432 0.0971  6 In 3.24-3.49, 2 Hg 3.43
In1 0.0773 0.2821 0.5634  3 Hg 2.84-3.13, 1 In 2.91
In2 0.6487 0.8169 0.8858  1 Hg 2.88, 1 In 3.00
In3 0.9227 0.7179 0.4366  3 Hg 2.84-3.13, 1 In 2.91
In4 0.3513 0.1831 0.1142  1 Hg 2.88, 1 In 3.00
Hg1 0.6094 0.1124 0.6689  4 In 2.84-3.13
Hg2 0.3906 0.8876 0.3311  4 In 2.84-3.13

Entry 3:
The following is a PBE calculation of a relaxed Hf2Si2Ni crystal, from the Alexandria database.

Calculated values
Size of the total moment: 0.0 μB per cell
Formation energy without anion corrections: -58.9 kJ/mol of atoms

Cell lengths 4.0132, 6.0776, 7.2943 Å; angles 90.00, 105.97, 90.00 degrees
With the nearest neighbours (Å) after each atom.
Positions (direct):
Hf1 0.9882 0.7198 0.9763  5 Si 2.66-2.71, 2 Ni 2.69
Hf2 0.7976 0.4225 0.5951  5 Si 2.69-2.85, 1 Ni 2.93
Hf3 0.2024 0.9225 0.4049  5 Si 2.69-2.85, 1 Ni 2.93
Hf4 0.0118 0.2198 0.0237  5 Si 2.66-2.71, 2 Ni 2.69
Si1 0.4308 0.4554 0.8616  2 Ni 2.34-2.48
Si2 0.8295 0.9597 0.6590  2 Ni 2.35
Si3 0.1705 0.4597 0.3410  2 Ni 2.35
Si4 0.5692 0.9554 0.1384  2 Ni 2.34-2.48
Ni1 0.4002 0.0770 0.8005  4 Si 2.34-2.48
Ni2 0.5998 0.5770 0.1995  4 Si 2.34-2.48

Entry 4:
The following is a PBE calculation of a relaxed Cs2DyZn2Se4 crystal, from the Alexandria database.

Calculated values
Size of the total moment: 0.0 μB per cell
Formation energy without anion corrections: -106.2 kJ/mol of atoms

Cell lengths 4.1565, 8.6434, 8.5469 Å; angles 110.95, 104.07, 90.00 degrees
With the nearest neighbours (Å) after each atom.
Positions (direct):
Cs1 0.1305 0.5607 0.2611  7 Se 3.67-3.85, 1 Zn 3.88, 1 Cs 4.06
Cs2 0.8695 0.4393 0.7389  7 Se 3.67-3.85, 1 Zn 3.88, 1 Cs 4.06
Dy1 0.0000 0.0000 0.0000  6 Se 2.90-2.91
Zn1 0.6822 0.0062 0.3644  3 Se 2.50-2.57
Zn2 0.3178 0.9938 0.6356  3 Se 2.50-2.57
Se1 0.1859 0.1838 0.3718  2 Zn 2.57
Se2 0.8141 0.8162 0.6282  2 Zn 2.57
Se3 0.5310 0.7932 0.0620  1 Zn 2.50
Se4 0.4690 0.2068 0.9380  1 Zn 2.50

Entry 5:
The following is a PBE calculation of a relaxed LaSi4W crystal, from the Alexandria database.

Calculated values
Size of the total moment: 0.0 μB per cell
Formation energy without anion corrections: 34.5 kJ/mol of atoms

Cell lengths 5.2346, 5.2346, 5.2346 Å; angles 60.00, 60.00, 60.00 degrees
With the nearest neighbours (Å) after each atom.
Positions (direct):
La1 0.0000 0.0000 0.0000  12 Si 3.08, 4 W 3.21
Si1 0.8607 0.3798 0.3798  6 Si 2.52-2.72
Si2 0.3798 0.3798 0.8607  6 Si 2.52-2.72
Si3 0.3798 0.8607 0.3798  6 Si 2.52-2.72
Si4 0.3798 0.3798 0.3798  6 Si 2.52-2.72
W1 0.7500 0.7500 0.7500  12 Si 3.06, 4 La 3.21

Entry 6:
The following is a PBE calculation of a relaxed BeIn2Si crystal, from the Alexandria database.

Calculated values
Offset from the most stable computed form: 386 meV per atom
Size of the total moment: 0.0 μB per cell
Formation energy without anion corrections: 57.8 kJ/mol of atoms

Cell lengths 4.3856, 4.3856, 4.0598 Å; angles 90.00, 90.00, 90.00 degrees
With the nearest neighbours (Å) after each atom.
Positions (direct):
Be1 0.0000 0.5000 0.5000  8 In 2.99, 4 Si 3.10
Si1 0.5000 0.0000 0.5000  8 In 2.99, 4 Be 3.10
In1 0.0000 0.0000 0.0000  4 Be 2.99, 4 Si 2.99, 4 In 3.10
In2 0.5000 0.5000 0.0000  4 Be 2.99, 4 Si 2.99, 4 In 3.10

no.,volume (Å³/f.u.)
1,95
2,140
3,86
4,277
5,101
6,78